Compound: Fe2CoCl
Source: Alexandria
Functional: PBE
Structure: relaxed

Output
Its uncorrected formation energy is 271 meV/atom. Its total magnetization is 7.34 μB per formula unit. The symmetry is R3m, No. 160. The density of states at the Fermi level comes out at 2.83 states/eV/f.u. The calculation puts the theoretical density at 6.3 g/cm³. The calculation puts the energy above the most stable polymorph in this dataset at 132 meV per atom. The calculated total energy is -24.8 eV for the cell shown. For the calculated volume, the calculation gives 54.6 Å³/cell.

abc: 7.829 7.829 7.829
angles: 21.12 21.12 21.12
Each line ends with the local moment (μB).
Element x y z (fractional)
Co: 0.743 0.743 0.743  1.71
Fe: 0.001 0.001 0.001  2.72
Fe: 0.250 0.250 0.250  2.84
Cl: 0.506 0.506 0.506  0.14

Compound: FeCo2Cl
Source: Alexandria
Functional: PBE
Structure: relaxed

Output
Its uncorrected formation energy is 296 meV/atom. Its total magnetization is 6.24 μB per formula unit. The symmetry is R-3m, No. 166. The density of states at the Fermi level comes out at 2.54 states/eV/f.u. The calculation puts the theoretical density at 6.6 g/cm³. The calculation puts the energy above the most stable polymorph in this dataset at 156 meV per atom. The calculated total energy is -23.3 eV for the cell shown. For the calculated volume, the calculation gives 52.5 Å³/cell.

abc: 7.606 7.606 7.606
angles: 21.64 21.64 21.64
Each line ends with the local moment (μB).
Element x y z (fractional)
Co: 0.998 0.998 0.998  1.73
Co: 0.502 0.502 0.502  1.73
Cl: 0.750 0.750 0.750  0.14
Fe: 0.250 0.250 0.250  2.75

Compound: FeCo2Cl
Source: Alexandria
Functional: PBE
Structure: relaxed

Output
Its uncorrected formation energy is 332 meV/atom. Its total magnetization is 6.31 μB per formula unit. The symmetry is R3m, No. 160. The density of states at the Fermi level comes out at 4.98 states/eV/f.u. The calculation puts the theoretical density at 6.6 g/cm³. The calculation puts the energy above the most stable polymorph in this dataset at 192 meV per atom. The calculated total energy is -23.2 eV for the cell shown. For the calculated volume, the calculation gives 52.4 Å³/cell.

abc: 7.759 7.759 7.759
angles: 20.97 20.97 20.97
Each line ends with the local moment (μB).
Element x y z (fractional)
Co: 0.996 0.996 0.996  1.75
Co: 0.250 0.250 0.250  1.73
Fe: 0.501 0.501 0.501  2.79
Cl: 0.753 0.753 0.753  0.14

Compound: FeCo2Cl
Source: Alexandria
Functional: PBE
Structure: relaxed

Output
Its uncorrected formation energy is 533 meV/atom. Its total magnetization is 5.98 μB per formula unit. The symmetry is Imm2, No. 44. The density of states at the Fermi level comes out at 2.92 states/eV/f.u. The calculation puts the theoretical density at 7.0 g/cm³. The calculation puts the energy above the most stable polymorph in this dataset at 394 meV per atom. The calculated total energy is -22.4 eV for the cell shown. For the calculated volume, the calculation gives 50.0 Å³/cell.

abc: 4.955 4.955 4.955
angles: 147.32 129.84 61.16
Each line ends with the local moment (μB).
Element x y z (fractional)
Fe: 0.483 0.483 0.000  2.77
Cl: 0.242 0.742 0.500  0.12
Co: 0.015 0.015 0.000  1.58
Co: 0.760 0.260 0.500  1.64

Compound: Fe2CoCl8
Source: Alexandria
Functional: PBE
Structure: relaxed

Output
Its uncorrected formation energy is -686 meV/atom. Its total magnetization is 13.03 μB per formula unit. The symmetry is C2/m, No. 12. The density of states at the Fermi level comes out at 1.44 states/eV/f.u. The calculation puts the theoretical density at 2.2 g/cm³. The calculated total energy is -46.4 eV for the cell shown. For the calculated volume, the calculation gives 341.0 Å³/cell.

abc: 5.957 8.693 7.893
angles: 123.41 91.44 90.00
Each line ends with the local moment (μB).
Element x y z (fractional)
Cl: 0.224 0.724 0.841  0.24
Cl: 0.752 0.845 0.691  0.22
Cl: 0.281 0.676 0.353  0.28
Cl: 0.248 0.155 0.309  0.22
Cl: 0.719 0.324 0.647  0.28
Cl: 0.224 0.118 0.841  0.24
Cl: 0.776 0.276 0.159  0.24
Cl: 0.776 0.882 0.159  0.24
Co: 0.000 0.000 0.000  2.61
Fe: 0.626 0.165 0.330  3.73
Fe: 0.374 0.835 0.670  3.73

Compound: FeCo2Cl
Source: Alexandria
Functional: PBE
Structure: relaxed

Output
Its uncorrected formation energy is 800 meV/atom. Its total magnetization is 6.02 μB per formula unit. The symmetry is I-42d, No. 122. The density of states at the Fermi level comes out at 3.98 states/eV/f.u. The calculation puts the theoretical density at 5.1 g/cm³. The calculation puts the energy above the most stable polymorph in this dataset at 661 meV per atom. The calculated total energy is -42.6 eV for the cell shown. For the calculated volume, the calculation gives 137.2 Å³/cell.

abc: 5.496 5.496 5.979
angles: 62.64 62.64 90.00
Each line ends with the local moment (μB).
Element x y z (fractional)
Co: 0.875 0.866 0.750  1.59
Co: 0.616 0.125 0.250  1.60
Co: 0.375 0.384 0.750  1.54
Co: 0.134 0.625 0.250  1.59
Cl: 0.500 0.500 0.000  0.09
Cl: 0.250 0.750 0.500  0.09
Fe: 0.000 0.000 0.000  2.77
Fe: 0.750 0.250 0.500  2.77

Compound: FeCo2Cl
Source: Alexandria
Functional: PBE
Structure: relaxed

Output
Its uncorrected formation energy is 696 meV/atom. Its total magnetization is 6.19 μB per formula unit. The symmetry is Fm-3m, No. 225. The density of states at the Fermi level comes out at 5.94 states/eV/f.u. The calculation puts the theoretical density at 6.8 g/cm³. The calculation puts the energy above the most stable polymorph in this dataset at 557 meV per atom. The calculated total energy is -21.7 eV for the cell shown. For the calculated volume, the calculation gives 51.4 Å³/cell.

abc: 4.175 4.175 4.175
angles: 60.00 60.00 60.00
Each line ends with the local moment (μB).
Element x y z (fractional)
Co: 0.250 0.250 0.250  1.64
Co: 0.750 0.750 0.750  1.64
Cl: 0.000 0.000 0.000  0.14
Fe: 0.500 0.500 0.500  2.91

Compound: Fe2CoCl
Source: Alexandria
Functional: PBE
Structure: relaxed

Output
Its uncorrected formation energy is 664 meV/atom. Its total magnetization is 7.66 μB per formula unit. The symmetry is I4/mmm, No. 139. The density of states at the Fermi level comes out at 5.01 states/eV/f.u. The calculation puts the theoretical density at 6.5 g/cm³. The calculation puts the energy above the most stable polymorph in this dataset at 525 meV per atom. The calculated total energy is -23.2 eV for the cell shown. For the calculated volume, the calculation gives 52.8 Å³/cell.

abc: 4.788 4.788 4.788
angles: 135.68 135.68 64.47
Each line ends with the local moment (μB).
Element x y z (fractional)
Fe: 0.500 0.500 0.000  2.86
Fe: 0.000 0.000 0.000  2.86
Cl: 0.250 0.750 0.500  0.16
Co: 0.750 0.250 0.500  1.75

> Which of these has the highest theoretical density?

number 4

> The highest calculated total energy belongs to which entry?

number 7

> Which value of theoretical density does entry 3 give?

6.6 g/cm³